Run i
Entry from the Alexandria database: crystalline Cs2LiHg2 at its relaxed geometry (GGA-PBE).

```
data_Cs2LiHg2
_chemical_formula_sum 'Cs4 Li2 Hg4'
_cell_length_a 8.668
_cell_length_b 8.668
_cell_length_c 5.868
_cell_angle_alpha 90.00
_cell_angle_beta 90.00
_cell_angle_gamma 90.00
_space_group_name_H-M_alt 'P 4/m b m'
_space_group_IT_number 127
_space_group_name_Hall '-P 4 2ab'
loop_
_atom_site_label
_atom_site_type_symbol
_atom_site_fract_x
_atom_site_fract_y
_atom_site_fract_z
Cs1 Cs 0.175 0.325 0.000
Li1 Li 0.000 0.000 0.500
Hg1 Hg 0.133 0.633 0.500
```

Run ii
Entry from the Alexandria database: crystalline Cs2LiHg2 at its relaxed geometry (GGA-PBE).

```
data_Cs2LiHg2
_chemical_formula_sum 'Cs4 Li2 Hg4'
_cell_length_a 10.899
_cell_length_b 10.899
_cell_length_c 4.135
_cell_angle_alpha 90.00
_cell_angle_beta 90.00
_cell_angle_gamma 90.00
_space_group_name_H-M_alt 'P 4/m b m'
_space_group_IT_number 127
_space_group_name_Hall '-P 4 2ab'
loop_
_atom_site_label
_atom_site_type_symbol
_atom_site_fract_x
_atom_site_fract_y
_atom_site_fract_z
Cs1 Cs 0.184 0.316 0.000
Li1 Li 0.000 0.000 0.000
Hg1 Hg 0.104 0.604 0.500
```

Run iii
Entry from the Alexandria database: crystalline Cs2LiHg2 at its relaxed geometry (GGA-PBE).

```
data_Cs2LiHg2
_chemical_formula_sum 'Cs4 Li2 Hg4'
_cell_length_a 7.462
_cell_length_b 7.462
_cell_length_c 8.622
_cell_angle_alpha 90.00
_cell_angle_beta 90.00
_cell_angle_gamma 90.00
_space_group_name_H-M_alt 'I 4/m m m'
_space_group_IT_number 139
_space_group_name_Hall '-I 4 2'
loop_
_atom_site_label
_atom_site_type_symbol
_atom_site_fract_x
_atom_site_fract_y
_atom_site_fract_z
Cs1 Cs 0.000 0.500 0.250
Li1 Li 0.000 0.000 0.000
Hg1 Hg 0.000 0.000 0.327
```

What should be chosen as the least stable of them? Choose run ii.